No. 1
! AgBi2Au | OQMD via LeMat-Bulk | PBE-GGA | optimized geometry; values from VASP
&SYSTEM
  ibrav = 0, nat = 4, ntyp = 3
/
ATOMIC_SPECIES
Ag 107.87 Ag.upf
Au 196.97 Au.upf
Bi 208.98 Bi.upf
CELL_PARAMETERS angstrom
1.167 -1.881 4.720
-1.309 2.685 4.273
-3.793 -1.751 3.119
ATOMIC_POSITIONS angstrom
Ag -2.951 -0.711 9.084
Au -1.967 -0.474 6.056
Bi 0.000 0.000 0.000
Bi -0.984 -0.237 3.028
! Calculated volume in Å³/f.u.: 100
! Final energy in eV per cell: -13.567

***

No. 2
! Sr2In4PtAu | OQMD via LeMat-Bulk | PBE-GGA | optimized geometry; values from VASP
&SYSTEM
  ibrav = 0, nat = 8, ntyp = 4
/
ATOMIC_SPECIES
Pt 195.08 Pt.upf
Sr 87.62 Sr.upf
In 114.82 In.upf
Au 196.97 Au.upf
CELL_PARAMETERS angstrom
7.978 0.000 0.000
0.000 2.282 5.569
0.000 -2.282 5.569
ATOMIC_POSITIONS angstrom
Pt 3.989 0.000 8.699
Sr 0.000 0.000 10.427
Sr 3.989 0.000 0.701
In 2.456 0.000 3.932
In 1.613 0.000 7.197
In 5.522 0.000 3.932
In 6.365 0.000 7.197
Au 0.000 0.000 2.463
! Calculated volume in Å³/f.u.: 203
! Final energy in eV per cell: -28.433

***

No. 3
! Ho3Al3Cu2Ni | OQMD via LeMat-Bulk | PBE-GGA | optimized geometry; values from VASP
&SYSTEM
  ibrav = 0, nat = 9, ntyp = 4
/
ATOMIC_SPECIES
Ho 164.93 Ho.upf
Ni 58.69 Ni.upf
Cu 63.55 Cu.upf
Al 26.98 Al.upf
CELL_PARAMETERS angstrom
4.007 0.000 0.000
0.000 6.015 3.470
0.000 -6.015 3.470
ATOMIC_POSITIONS angstrom
Ho 0.000 0.000 2.852
Ho 0.000 2.475 5.512
Ho 0.000 -2.475 5.512
Ni 0.000 0.000 0.001
Cu 2.004 2.007 3.471
Cu 2.004 -2.007 3.471
Al 2.004 -1.388 0.805
Al 2.004 1.388 0.805
Al 2.004 0.000 5.332
! Calculated volume in Å³/f.u.: 167
! Final energy in eV per cell: -42.610
! Distance to the lowest polymorph of the same formula in meV/atom: 0

***

No. 4
! TmZrCdC | OQMD via LeMat-Bulk | PBE-GGA | optimized geometry; values from VASP
&SYSTEM
  ibrav = 0, nat = 8, ntyp = 4
/
ATOMIC_SPECIES
Tm 168.93 Tm.upf
Cd 112.41 Cd.upf
Zr 91.22 Zr.upf
C 12.01 C.upf
CELL_PARAMETERS angstrom
-0.622 3.310 0.537
-0.651 -1.384 -3.048
-14.616 -3.514 4.717
ATOMIC_POSITIONS angstrom
Tm -6.727 -1.283 0.111
Tm -14.025 -1.475 3.664
Cd -4.196 0.888 0.493
Cd -11.514 -2.433 1.656
Zr -1.837 -0.107 -1.467
Zr -9.135 -0.299 2.086
C -0.116 -0.028 0.038
C -7.425 -1.785 2.396
! Calculated volume in Å³/f.u.: 79
! Final energy in eV per cell: -49.699
! Distance to the lowest polymorph of the same formula in meV/atom: 0